[1]
PrSiPt2 | PBE | relaxed

Values from the calculation:
E_tot: -6.4266 eV per atom
Calculated volume: 176 Å³/cell
Total moment: 0.000 μB per atom

Unit cell a=4.360 b=6.183 c=6.545 alpha=90.00 beta=90.00 gamma=90.00
Space group Pmc2_1 (No. 26)
Inequivalent atoms, fractional coordinates:
Pr 0.000 0.229 0.000
Si 0.500 0.275 0.392
Pt 0.000 0.303 0.526
Pt 0.500 0.059 0.703

[2]
AcAsPtO | PBE | relaxed

Values from the calculation:
E_tot: -6.1726 eV per atom
Energy relative to the lowest polymorph listed for this composition: 626 meV/atom
Calculated volume: 97 Å³/cell
Total moment: 0.001 μB per atom

Unit cell a=4.614 b=4.614 c=4.578 alpha=90.00 beta=90.00 gamma=90.00
Space group P4/mmm (No. 123)
Inequivalent atoms, fractional coordinates:
Ac 0.000 0.000 0.000
As 0.500 0.500 0.500
Pt 0.500 0.500 0.000
O 0.000 0.000 0.500

[3]
LaNdNO | PBE | relaxed

Values from the calculation:
E_tot: -7.7973 eV per atom
Energy relative to the lowest polymorph listed for this composition: 0 meV/atom
Calculated volume: 158 Å³/cell
Total moment: 0.037 μB per atom

Unit cell a=5.215 b=4.186 c=7.216 alpha=90.00 beta=90.00 gamma=90.00
Space group Pmma (No. 51)
Inequivalent atoms, fractional coordinates:
La 0.250 0.000 0.167
Nd 0.250 0.500 0.665
N 0.250 0.500 0.337
O 0.250 0.000 0.820

[4]
BaPuNi | PBE | relaxed

Values from the calculation:
E_tot: -5.4608 eV per atom
Calculated volume: 283 Å³/cell
Total moment: 0.009 μB per atom

Unit cell a=6.563 b=6.563 c=6.563 alpha=90.00 beta=90.00 gamma=90.00
Space group F-43m (No. 216)
Inequivalent atoms, fractional coordinates:
Ba 0.000 0.000 0.000
Pu 0.250 0.250 0.250
Ni 0.250 0.250 0.750

- calculated volume of number 4 (BaPuNi)?
  283 Å³/cell

- The lowest total moment belongs to which entry?
  PrSiPt2

- What is the E_tot in the fourth record?
  -5.4608 eV per atom

- The lowest total moment belongs to which entry?
  PrSiPt2